No. 1
Density functional theory data (PBE-GGA) for a relaxed structure of Ba3ScTe.

Properties
Formation energy without anion corrections in meV per atom: 158

Cell lengths 6.1109, 6.1109, 6.1109 Å; angles 90.00, 90.00, 90.00 degrees
Last column: nearest neighbours and their distance in Å.
Sites, in units of the cell vectors:
1 Sc 0.0000 0.0000 0.0000  6 Ba 3.06
2 Te 0.5000 0.5000 0.5000  12 Ba 4.32
3 Ba 0.5000 0.0000 0.0000  2 Sc 3.06
4 Ba 0.0000 0.0000 0.5000  2 Sc 3.06
5 Ba 0.0000 0.5000 0.0000  2 Sc 3.06


No. 2
Density functional theory data (PBE-GGA) for a relaxed structure of Ca7Pt2Au2.

Properties
Formation enthalpy at 0 K in kJ/mol of formula units: -790

Cell lengths 4.2177, 9.2162, 9.2162 Å; angles 61.36, 76.77, 76.77 degrees
Last column: nearest neighbours and their distance in Å.
Sites, in units of the cell vectors:
1 Pt 0.7376 0.8555 0.6693  7 Ca 2.93-3.07
2 Au 0.0000 0.7758 0.2242  8 Ca 3.04-3.21
3 Ca 0.1410 0.1300 0.5880  2 Pt 3.07, 2 Au 3.09
4 Ca 0.1856 0.7079 0.9210  3 Pt 2.93-3.06, 1 Au 3.04
5 Pt 0.2624 0.3307 0.1445  7 Ca 2.93-3.07
6 Ca 0.3812 0.7237 0.5139  2 Pt 3.05, 3 Au 3.07-3.21
7 Ca 0.6188 0.4861 0.2763  2 Pt 3.05, 3 Au 3.07-3.21
8 Ca 0.8590 0.4120 0.8700  2 Pt 3.07, 2 Au 3.09
9 Ca 0.8144 0.0790 0.2921  3 Pt 2.93-3.06, 1 Au 3.04
10 Ca 0.5000 0.0120 0.9880  3 Au 3.06-3.09
11 Au 0.5000 0.3411 0.6589  7 Ca 3.07-3.09


No. 3
Density functional theory data (PBE-GGA) for a relaxed structure of TbPmPu2S4.

Properties
Formation energy without anion corrections in meV per atom: -1915

Cell lengths 3.9584, 6.8615, 6.8912 Å; angles 109.35, 90.00, 90.00 degrees
Last column: nearest neighbours and their distance in Å.
Sites, in units of the cell vectors:
1 Pm 0.5000 0.5000 0.0000  6 S 2.83
2 Pu 0.0000 0.5000 0.5000  6 S 2.81
3 Pu 0.5000 0.0000 0.5000  6 S 2.78
4 S 0.0000 0.7556 0.2546  3 Pu 2.78-2.81, 1 Tb 2.80, 2 Pm 2.83
5 S 0.5000 0.7539 0.7489  3 Pu 2.78-2.81, 2 Tb 2.80, 1 Pm 2.83
6 Tb 0.0000 0.0000 0.0000  6 S 2.80
7 S 0.0000 0.2444 0.7454  3 Pu 2.78-2.81, 1 Tb 2.80, 2 Pm 2.83
8 S 0.5000 0.2461 0.2511  3 Pu 2.78-2.81, 2 Tb 2.80, 1 Pm 2.83


No. 4
Density functional theory data (PBE-GGA) for a relaxed structure of ScMn3Sn.

Properties
Formation enthalpy at 0 K in kJ/mol of formula units: 460

Cell lengths 4.9310, 4.9310, 4.9310 Å; angles 90.00, 90.00, 90.00 degrees
Last column: nearest neighbours and their distance in Å.
Sites, in units of the cell vectors:
1 Mn 0.0000 0.5000 0.0000  2 Sn 2.47
2 Mn 0.5000 0.0000 0.0000  2 Sn 2.47
3 Mn 0.0000 0.0000 0.5000  2 Sn 2.47
4 Sn 0.0000 0.0000 0.0000  6 Mn 2.47
5 Sc 0.5000 0.5000 0.5000  12 Mn 3.49


No. 5
Density functional theory data (PBE-GGA) for a relaxed structure of Zr2Co2Os.

Properties
Formation enthalpy at 0 K in kJ/mol of formula units: -111

Cell lengths 6.6678, 6.6678, 3.5410 Å; angles 90.00, 90.00, 90.00 degrees
Last column: nearest neighbours and their distance in Å.
Sites, in units of the cell vectors:
1 Zr 0.8162 0.3162 0.5000  6 Co 2.56-2.72
2 Zr 0.6838 0.8162 0.5000  6 Co 2.56-2.72
3 Co 0.6198 0.1198 0.0000  1 Co 2.26
4 Os 0.0000 0.0000 0.0000  4 Co 2.66
5 Zr 0.1838 0.6838 0.5000  6 Co 2.56-2.72
6 Co 0.3802 0.8802 0.0000  1 Co 2.26
7 Os 0.5000 0.5000 0.0000  4 Co 2.66
8 Zr 0.3162 0.1838 0.5000  6 Co 2.56-2.72
9 Co 0.1198 0.3802 0.0000  1 Co 2.26
10 Co 0.8802 0.6198 0.0000  1 Co 2.26


No. 6
Density functional theory data (PBE-GGA) for a relaxed structure of LiCuMo2.

Properties
Formation enthalpy at 0 K in kJ/mol of formula units: 125

Cell lengths 2.5660, 2.5660, 9.1767 Å; angles 90.00, 90.00, 103.33 degrees
Last column: nearest neighbours and their distance in Å.
Sites, in units of the cell vectors:
1 Mo 0.0000 0.0000 0.4882  4 Mo 2.57, 2 Cu 2.70
2 Li 0.5000 0.5000 0.7500  4 Li 2.57
3 Mo 0.0000 0.0000 0.0118  4 Mo 2.57, 2 Cu 2.70
4 Cu 0.5000 0.5000 0.2500  4 Cu 2.57, 4 Mo 2.70


No. 7
Density functional theory data (PBE-GGA) for a relaxed structure of LiNiAsAu.

Properties
Formation enthalpy at 0 K in kJ/mol of formula units: -87

Cell lengths 4.3434, 4.3434, 4.3434 Å; angles 60.00, 60.00, 60.00 degrees
Last column: nearest neighbours and their distance in Å.
Sites, in units of the cell vectors:
1 As 0.7500 0.7500 0.7500  4 Li 2.66, 4 Ni 2.66
2 Ni 0.0000 0.0000 0.0000  4 Au 2.66, 4 As 2.66
3 Au 0.2500 0.2500 0.2500  4 Li 2.66, 4 Ni 2.66
4 Li 0.5000 0.5000 0.5000  4 Au 2.66, 4 As 2.66


No. 8
Density functional theory data (PBE-GGA) for a relaxed structure of K4Er3NpS8.

Properties
Formation energy without anion corrections in meV per atom: -1753

Cell lengths 8.0912, 8.7183, 8.0913 Å; angles 117.66, 120.00, 90.00 degrees
Last column: nearest neighbours and their distance in Å.
Sites, in units of the cell vectors:
1 S 0.2666 0.2998 0.5331  3 Er 2.76
2 S 0.7334 0.7002 0.4669  3 Er 2.76
3 S 0.2715 0.2993 0.0354  2 Er 2.75, 1 Np 2.79
4 Er 0.5000 0.5000 0.5000  6 S 2.75-2.76
5 S 0.2362 0.7007 0.4723  2 Er 2.75, 1 Np 2.79
6 K 0.0000 0.0000 0.5000  6 S 3.21-3.22
7 K 0.0000 0.0000 0.0000  6 S 3.21-3.22
8 Er 0.0000 0.5000 0.5000  6 S 2.75-2.76
9 S 0.7638 0.2993 0.5277  2 Er 2.75, 1 Np 2.79
10 Np 0.0000 0.5000 0.0000  6 S 2.79
11 K 0.5000 0.0000 0.0000  6 S 3.18
12 S 0.7285 0.7007 0.9646  2 Er 2.75, 1 Np 2.79
13 Er 0.5000 0.5000 0.0000  6 S 2.75-2.76
14 S 0.2362 0.7007 0.9646  2 Er 2.75, 1 Np 2.79
15 S 0.7638 0.2993 0.0354  2 Er 2.75, 1 Np 2.79
16 K 0.5000 0.0000 0.5000  6 S 3.21-3.22


No. 9
Density functional theory data (PBE-GGA) for a relaxed structure of GaO2.

Properties
Formation energy without anion corrections in meV per atom: -1149

Cell lengths 3.0438, 4.2465, 9.8851 Å; angles 90.00, 90.00, 90.00 degrees
Last column: nearest neighbours and their distance in Å.
Sites, in units of the cell vectors:
1 O 0.2500 0.6361 0.6904  3 Ga 1.98
2 O 0.2500 0.8639 0.1904  3 Ga 1.98
3 O 0.2500 0.3184 0.0643  3 Ga 2.02-2.05
4 Ga 0.2500 0.4056 0.8639  6 O 1.98-2.05
5 O 0.7500 0.3639 0.3096  3 Ga 1.98
6 O 0.7500 0.1361 0.8096  3 Ga 1.98
7 O 0.7500 0.6816 0.9357  3 Ga 2.02-2.05
8 Ga 0.2500 0.0944 0.3639  6 O 1.98-2.05
9 Ga 0.7500 0.5944 0.1361  6 O 1.98-2.05
10 O 0.2500 0.1816 0.5643  3 Ga 2.02-2.05
11 O 0.7500 0.8184 0.4357  3 Ga 2.02-2.05
12 Ga 0.7500 0.9056 0.6361  6 O 1.98-2.05


No. 10
Density functional theory data (PBE-GGA) for a relaxed structure of CdSnCl6.

Properties
Formation energy without anion corrections in meV per atom: -935

Cell lengths 6.4627, 6.9184, 6.9184 Å; angles 124.26, 98.94, 98.94 degrees
Last column: nearest neighbours and their distance in Å.
Sites, in units of the cell vectors:
1 Cl 0.7403 0.8823 0.5970  1 Sn 2.50, 1 Cd 2.61
2 Cl 0.2687 0.7317 0.7317  1 Sn 2.44
3 Cl 0.2597 0.4030 0.1177  1 Sn 2.50, 1 Cd 2.61
4 Cd 0.0000 0.0000 0.0000  6 Cl 2.61-2.83
5 Cl 0.2597 0.1177 0.4030  1 Sn 2.50, 1 Cd 2.61
6 Cl 0.7403 0.5970 0.8823  1 Sn 2.50, 1 Cd 2.61
7 Cl 0.7313 0.2683 0.2683  1 Sn 2.44
8 Sn 0.5000 0.5000 0.5000  6 Cl 2.44-2.50


No. 11
Density functional theory data (PBE-GGA) for a relaxed structure of Na3B2N3.

Properties
Formation energy without anion corrections in meV per atom: -313

Cell lengths 2.7061, 8.3892, 8.9219 Å; angles 90.00, 90.00, 99.28 degrees
Last column: nearest neighbours and their distance in Å.
Sites, in units of the cell vectors:
1 Na 0.3937 0.7874 0.7500  2 N 2.31
2 N 0.3003 0.6007 0.9419  3 B 1.60-1.67
3 Na 0.6063 0.2126 0.2500  2 N 2.31
4 B 0.7533 0.5066 0.9002  4 N 1.53-1.67
5 N 0.2917 0.5833 0.2500  2 B 1.53
6 N 0.3003 0.6007 0.5581  3 B 1.60-1.67
7 N 0.6997 0.3993 0.4419  3 B 1.60-1.67
8 Na 0.1136 0.2272 0.9089  4 N 2.37-2.51
9 B 0.2467 0.4934 0.0998  4 N 1.53-1.67
10 N 0.6997 0.3993 0.0581  3 B 1.60-1.67
11 Na 0.1136 0.2272 0.5911  4 N 2.37-2.51
12 N 0.7083 0.4167 0.7500  2 B 1.53
13 Na 0.8864 0.7728 0.4089  4 N 2.37-2.51
14 B 0.2467 0.4934 0.4002  4 N 1.53-1.67
15 Na 0.8864 0.7728 0.0911  4 N 2.37-2.51
16 B 0.7533 0.5066 0.5998  4 N 1.53-1.67


No. 12
Density functional theory data (PBE-GGA) for a relaxed structure of BaTe3N.

Properties
Formation energy without anion corrections in meV per atom: -71

Cell lengths 5.0594, 5.0594, 5.0594 Å; angles 90.00, 90.00, 90.00 degrees
Last column: nearest neighbours and their distance in Å.
Sites, in units of the cell vectors:
1 Te 0.5000 0.0000 0.0000  2 N 2.53
2 Te 0.0000 0.5000 0.0000  2 N 2.53
3 Te 0.0000 0.0000 0.5000  2 N 2.53
4 N 0.0000 0.0000 0.0000  6 Te 2.53
5 Ba 0.5000 0.5000 0.5000  12 Te 3.58


No. 13
Density functional theory data (PBE-GGA) for a relaxed structure of MgPaGa4.

Properties
Formation enthalpy at 0 K in kJ/mol of formula units: -125

Cell lengths 4.0384, 6.4765, 9.4112 Å; angles 90.00, 102.39, 90.00 degrees
Last column: nearest neighbours and their distance in Å.
Sites, in units of the cell vectors:
1 Ga 0.8462 0.9514 0.6924  4 Ga 2.61-2.84, 3 Mg 2.76-2.87
2 Ga 0.4230 0.7500 0.8461  8 Ga 2.79-2.95, 1 Mg 2.98, 1 Pa 3.08
3 Ga 0.8462 0.5486 0.6924  4 Ga 2.61-2.84, 3 Mg 2.76-2.87
4 Pa 0.5905 0.7500 0.1810  11 Ga 3.03-3.25
5 Ga 0.1538 0.4514 0.3076  4 Ga 2.61-2.84, 3 Mg 2.76-2.87
6 Mg 0.2611 0.7500 0.5222  7 Ga 2.76-2.98
7 Ga 0.1538 0.0486 0.3076  4 Ga 2.61-2.84, 3 Mg 2.76-2.87
8 Mg 0.7389 0.2500 0.4778  7 Ga 2.76-2.98
9 Ga 0.0000 0.5000 0.0000  6 Ga 2.84-2.95, 4 Pa 3.08
10 Ga 0.0000 0.0000 0.0000  6 Ga 2.84-2.95, 4 Pa 3.08
11 Pa 0.4095 0.2500 0.8190  11 Ga 3.03-3.25
12 Ga 0.5770 0.2500 0.1539  8 Ga 2.79-2.95, 1 Mg 2.98, 1 Pa 3.08


No. 14
Density functional theory data (PBE-GGA) for a relaxed structure of RbMg6Mn.

Properties
Formation enthalpy at 0 K in kJ/mol of formula units: 284

Cell lengths 7.5910, 7.5910, 4.9908 Å; angles 90.00, 90.00, 129.45 degrees
Last column: nearest neighbours and their distance in Å.
Sites, in units of the cell vectors:
1 Mg 0.8292 0.6863 0.0000  2 Mn 2.98, 4 Mg 3.02-3.14
2 Mg 0.6652 0.7947 0.5000  1 Mn 2.87, 5 Mg 2.98-3.13
3 Mg 0.8838 0.1162 0.0000  6 Mg 3.02-3.13
4 Mg 0.2053 0.3348 0.5000  1 Mn 2.87, 5 Mg 2.98-3.13
5 Mg 0.3137 0.1708 0.0000  2 Mn 2.98, 4 Mg 3.02-3.14
6 Mn 0.1005 0.8995 0.5000  6 Mg 2.87-2.98
7 Rb 0.7055 0.2945 0.5000  8 Mg 3.50-3.61, 2 Mn 3.55
8 Mg 0.2969 0.7031 0.0000  8 Mg 3.45-3.47, 2 Mn 3.67


No. 15
Density functional theory data (PBE-GGA) for a relaxed structure of K2Na4CdAg2.

Properties
Formation enthalpy at 0 K in kJ/mol of formula units: -21

Cell lengths 7.7786, 6.5190, 6.5190 Å; angles 63.24, 95.80, 95.80 degrees
Last column: nearest neighbours and their distance in Å.
Sites, in units of the cell vectors:
1 K 0.3971 0.6607 0.6607  3 Ag 3.52-3.70, 1 Cd 3.76, 4 Na 3.82-3.90
2 Na 0.1294 0.6360 0.1328  3 Ag 3.15-3.34, 4 Na 3.40-3.45, 1 Cd 3.46
3 Cd 0.5000 0.0000 0.0000  2 Ag 2.86
4 Ag 0.7854 0.8596 0.8596  1 Cd 2.86, 2 Na 3.15
5 Na 0.1294 0.1328 0.6360  3 Ag 3.15-3.34, 4 Na 3.40-3.45, 1 Cd 3.46
6 K 0.6029 0.3393 0.3393  3 Ag 3.52-3.70, 1 Cd 3.76, 4 Na 3.82-3.90
7 Na 0.8706 0.3640 0.8672  3 Ag 3.15-3.34, 4 Na 3.40-3.45, 1 Cd 3.46
8 Ag 0.2146 0.1404 0.1404  1 Cd 2.86, 2 Na 3.15
9 Na 0.8706 0.8672 0.3640  3 Ag 3.15-3.34, 4 Na 3.40-3.45, 1 Cd 3.46


No. 16
Density functional theory data (PBE-GGA) for a relaxed structure of La2VSnAu.

Properties
Formation enthalpy at 0 K in kJ/mol of formula units: 64

Cell lengths 5.3574, 4.9471, 5.3574 Å; angles 90.00, 90.00, 90.00 degrees
Last column: nearest neighbours and their distance in Å.
Sites, in units of the cell vectors:
1 La 0.0000 0.0000 0.5000  2 V 2.68
2 Au 0.0000 0.5000 0.0000  2 V 2.47
3 V 0.0000 0.0000 0.0000  2 Au 2.47, 4 La 2.68
4 Sn 0.5000 0.5000 0.5000  8 La 3.65, 4 Au 3.79
5 La 0.5000 0.0000 0.0000  2 V 2.68


No. 17
Density functional theory data (PBE-GGA) for a relaxed structure of Ga2Cu3Au.

Properties
Formation enthalpy at 0 K in kJ/mol of formula units: 11

Cell lengths 5.9003, 5.9003, 5.2624 Å; angles 89.99, 89.99, 95.03 degrees
Last column: nearest neighbours and their distance in Å.
Sites, in units of the cell vectors:
1 Ga 0.4332 0.9343 0.2501  5 Cu 2.55-2.77, 1 Au 2.65, 2 Ga 2.84
2 Au 0.0037 0.9963 0.7500  2 Au 2.63, 2 Ga 2.65, 5 Cu 2.67-2.88
3 Cu 0.6900 0.3100 0.2500  4 Cu 2.55, 2 Ga 2.57, 1 Au 2.67
4 Cu 0.3100 0.6900 0.7500  4 Cu 2.55, 2 Ga 2.57, 1 Au 2.67
5 Ga 0.9343 0.4332 0.7501  5 Cu 2.55-2.77, 1 Au 2.65, 2 Ga 2.84
6 Cu 0.6788 0.6787 0.5000  4 Ga 2.55-2.77, 5 Cu 2.55-2.85
7 Cu 0.6787 0.6788 0.0000  4 Ga 2.55-2.77, 5 Cu 2.55-2.85
8 Cu 0.3213 0.3212 0.0000  4 Ga 2.55-2.77, 5 Cu 2.55-2.85
9 Au 0.9963 0.0037 0.2500  2 Au 2.63, 2 Ga 2.65, 5 Cu 2.67-2.88
10 Cu 0.3212 0.3213 0.5000  4 Ga 2.55-2.77, 5 Cu 2.55-2.85
11 Ga 0.5668 0.0657 0.7499  5 Cu 2.55-2.77, 1 Au 2.65, 2 Ga 2.84
12 Ga 0.0657 0.5668 0.2499  5 Cu 2.55-2.77, 1 Au 2.65, 2 Ga 2.84


No. 18
Density functional theory data (PBE-GGA) for a relaxed structure of AcGaS2O8.

Properties
Formation energy without anion corrections in meV per atom: -1857

Cell lengths 5.3439, 5.3439, 8.3277 Å; angles 90.00, 90.00, 120.00 degrees
Last column: nearest neighbours and their distance in Å.
Sites, in units of the cell vectors:
1 O 0.6385 0.8184 0.7559  1 S 1.49
2 O 0.8184 0.1800 0.2441  1 S 1.49
3 O 0.3615 0.1816 0.2441  1 S 1.49
4 O 0.3333 0.6667 0.9934  1 S 1.51
5 O 0.1816 0.8200 0.7559  1 S 1.49
6 Ga 0.0000 0.0000 0.5000  6 O 2.71
7 S 0.6667 0.3333 0.1880  4 O 1.49-1.51
8 O 0.6667 0.3333 0.0066  1 S 1.51
9 O 0.8200 0.6385 0.2441  1 S 1.49
10 Ac 0.0000 0.0000 0.0000  6 O 2.63
11 S 0.3333 0.6667 0.8120  4 O 1.49-1.51
12 O 0.1800 0.3615 0.7559  1 S 1.49


No. 19
Density functional theory data (PBE-GGA) for a relaxed structure of Pr3TmCo.

Properties
Formation enthalpy at 0 K in kJ/mol of formula units: 65

Cell lengths 5.4526, 5.4526, 5.4526 Å; angles 90.00, 90.00, 90.00 degrees
Last column: nearest neighbours and their distance in Å.
Sites, in units of the cell vectors:
1 Pr 0.0000 0.5000 0.0000  2 Co 2.73
2 Pr 0.5000 0.0000 0.0000  2 Co 2.73
3 Co 0.0000 0.0000 0.0000  6 Pr 2.73
4 Tm 0.5000 0.5000 0.5000  12 Pr 3.86
5 Pr 0.0000 0.0000 0.5000  2 Co 2.73


No. 20
Density functional theory data (PBE-GGA) for a relaxed structure of TbPmThSc.

Properties
Formation enthalpy at 0 K in kJ/mol of formula units: 10

Cell lengths 3.5629, 3.5629, 9.6687 Å; angles 90.00, 90.00, 90.00 degrees
Last column: nearest neighbours and their distance in Å.
Sites, in units of the cell vectors:
1 Tb 0.5000 0.5000 0.8119  4 Th 3.51, 4 Tb 3.56, 4 Pm 3.64
2 Sc 0.5000 0.5000 0.3288  4 Th 3.37, 4 Pm 3.46, 4 Sc 3.56
3 Th 0.0000 0.0000 0.5599  4 Sc 3.37, 4 Tb 3.51, 4 Th 3.56
4 Pm 0.0000 0.0000 0.0841  4 Sc 3.46, 4 Pm 3.56, 4 Tb 3.64


no.,electronic total energy (eV per atom)
1,-2.890
2,-3.712
3,-8.735
4,-6.615
5,-8.737
6,-6.595
7,-4.130
8,-5.755
9,-5.463
10,-2.934
11,-5.599
12,-4.006
13,-4.082
14,-2.095
15,-1.590
16,-5.118
17,-3.585
18,-6.445
19,-5.049
20,-5.756